1.
A plane-wave DFT calculation with PBE was carried out for Tb2Sm2Y6Pu after structural relaxation.

Output
Formation enthalpy at 0 K: 19.7 kJ/mol of atoms
DOS(E_F): 20.936 states/eV per cell

POSCAR file:
```
Tb2Sm2Y6Pu
1.0
7.648 -1.591 -0.468
-5.163 5.863 -0.468
-1.545 -2.656 10.793
Tb Sm Y Pu
2 2 6 1
Direct
0.334 0.666 0.500
0.666 0.334 0.500
0.833 0.167 0.000
0.167 0.833 0.000
0.739 0.739 0.739
0.084 0.415 0.750
0.261 0.261 0.261
0.415 0.084 0.750
0.916 0.585 0.250
0.585 0.916 0.250
0.000 0.000 0.500
```

2.
A plane-wave DFT calculation with PBE was carried out for GaHg2Cl after structural relaxation.

Output
Uncorrected formation energy: -0.171 eV per atom
DOS(E_F): 0.000 states/eV per cell
Energy relative to the lowest polymorph listed for this composition: 159 meV/atom

POSCAR file:
```
GaHg2Cl
1.0
-5.389 -1.033 4.046
-0.864 -6.187 -2.731
0.443 -5.945 4.816
Hg Ga Cl
4 2 2
Direct
0.656 0.125 0.250
0.094 0.625 0.250
0.375 0.344 0.750
0.875 0.906 0.750
0.000 0.000 0.000
0.750 0.250 0.500
0.500 0.500 0.000
0.250 0.750 0.500
```

3.
A plane-wave DFT calculation with PBE was carried out for ScOs2Au after structural relaxation.

Output
Formation enthalpy at 0 K: 12.0 kJ/mol of atoms
DOS(E_F): 4.325 states/eV per cell
Energy relative to the lowest polymorph listed for this composition: 220 meV/atom

POSCAR file:
```
ScOs2Au
1.0
-1.360 1.736 2.148
-4.034 -2.061 -0.888
0.933 -3.188 3.166
Au Os Sc
1 2 1
Direct
0.000 0.500 0.500
0.000 0.000 0.000
0.500 0.500 0.000
0.500 0.000 0.500
```

4.
A plane-wave DFT calculation with PBE was carried out for Ba4CuAuI2 after structural relaxation.

Output
Uncorrected formation energy: -0.869 eV per atom
DOS(E_F): 3.789 states/eV per cell

POSCAR file:
```
Ba4CuAuI2
1.0
4.712 0.000 0.000
0.000 8.173 0.139
0.000 -2.867 8.841
Ba Cu Au I
4 1 1 2
Direct
0.500 0.238 0.208
0.500 0.762 0.792
0.000 0.266 0.793
0.000 0.734 0.207
0.500 0.500 0.000
0.000 0.000 0.000
0.500 0.000 0.500
0.000 0.500 0.500
```

5.
A plane-wave DFT calculation with PBE was carried out for ZnCu3Pt4 after structural relaxation.

Output
Formation enthalpy at 0 K: -25.4 kJ/mol of atoms
DOS(E_F): 4.974 states/eV per cell

POSCAR file:
```
ZnCu3Pt4
1.0
3.822 0.000 -1.032
-0.273 3.818 -1.013
0.031 -0.001 7.711
Zn Pt Cu
1 4 3
Direct
0.500 0.000 0.000
0.374 0.374 0.749
0.626 0.626 0.251
0.126 0.126 0.251
0.874 0.874 0.749
0.000 0.500 0.000
0.750 0.250 0.500
0.250 0.750 0.500
```

6.
A plane-wave DFT calculation with PBE was carried out for LaTb2HoTm after structural relaxation.

Output
Formation enthalpy at 0 K: 35.5 kJ/mol of atoms
DOS(E_F): 14.259 states/eV per cell

POSCAR file:
```
LaTb2HoTm
1.0
7.232 0.000 0.000
0.000 8.425 0.000
0.000 -4.212 5.758
La Tb Ho Tm
2 4 2 2
Direct
0.250 0.733 0.466
0.750 0.267 0.534
0.500 0.309 0.000
0.000 0.691 0.000
0.500 0.691 0.000
0.000 0.309 0.000
0.250 0.003 0.005
0.750 0.997 0.995
0.750 0.719 0.438
0.250 0.281 0.562
```

7.
A plane-wave DFT calculation with PBE was carried out for Be3GeRh after structural relaxation.

Output
Formation enthalpy at 0 K: 43.0 kJ/mol of atoms
DOS(E_F): 2.445 states/eV per cell
Energy relative to the lowest polymorph listed for this composition: 0 meV/atom

POSCAR file:
```
Be3GeRh
1.0
4.208 0.000 0.000
0.000 4.208 0.000
0.000 0.000 4.208
Be Ge Rh
3 1 1
Direct
0.000 0.500 0.000
0.000 0.000 0.500
0.500 0.000 0.000
0.500 0.500 0.500
0.000 0.000 0.000
```

8.
A plane-wave DFT calculation with PBE was carried out for Ba2Ag2Au3 after structural relaxation.

Output
Formation enthalpy at 0 K: -49.7 kJ/mol of atoms
DOS(E_F): 3.730 states/eV per cell

POSCAR file:
```
Ba2Ag2Au3
1.0
4.525 0.000 -1.079
0.000 7.975 0.000
0.149 0.000 10.654
Ba Ag Au
4 4 6
Direct
0.159 0.250 0.318
0.841 0.750 0.682
0.938 0.250 0.876
0.062 0.750 0.124
0.691 0.939 0.383
0.309 0.061 0.617
0.309 0.439 0.617
0.691 0.561 0.383
0.225 0.750 0.449
0.775 0.250 0.551
0.562 0.432 0.123
0.438 0.568 0.877
0.438 0.932 0.877
0.562 0.068 0.123
```

> Among the records above, which one has the lowest DOS(E_F)?

GaHg2Cl

> Which of these has the highest DOS(E_F)?

Tb2Sm2Y6Pu

> Which of these has the lowest DOS(E_F)?

GaHg2Cl

> Look up the DOS(E_F) of the eighth one.

3.730 states/eV per cell